# AlCuPtPb

A relaxed structure of AlCuPtPb (PBE, OQMD).

Output
The value obtained for the energy above the most stable polymorph in this dataset is 0 kJ/mol of formula units. The space group is F-43m.

POSCAR file:
```
AlCuPtPb
1.0
0.000 3.291 3.291
3.291 0.000 3.291
3.291 3.291 0.000
Al Cu Pt Pb
1 1 1 1
direct
0.000 0.000 0.000
0.750 0.750 0.750
0.250 0.250 0.250
0.500 0.500 0.500
```

# AlCuPbSe3

A relaxed structure of AlCuPbSe3 (PBE, OQMD).

Output
The space group is Cmcm.

POSCAR file:
```
AlCuPbSe3
1.0
1.910 -6.643 0.000
1.910 6.643 0.000
0.000 0.000 10.468
Al Cu Pb Se
2 2 2 6
direct
0.000 0.000 0.000
0.000 0.000 0.500
0.407 0.593 0.750
0.593 0.407 0.250
0.280 0.720 0.250
0.720 0.280 0.750
0.047 0.953 0.750
0.371 0.629 0.530
0.371 0.629 0.970
0.629 0.371 0.030
0.629 0.371 0.470
0.953 0.047 0.250
```

# AlCuTe3Pb

A relaxed structure of AlCuTe3Pb (PBE, OQMD).

Output
The space group is Cmcm.

POSCAR file:
```
AlCuTe3Pb
1.0
2.073 -6.853 0.000
2.073 6.853 0.000
0.000 0.000 11.229
Al Cu Te Pb
2 2 6 2
direct
0.000 0.000 0.000
0.000 0.000 0.500
0.451 0.549 0.750
0.549 0.451 0.250
0.074 0.926 0.750
0.365 0.635 0.545
0.365 0.635 0.955
0.635 0.365 0.045
0.635 0.365 0.455
0.926 0.074 0.250
0.242 0.758 0.250
0.758 0.242 0.750
```

# AlCuPd2

A relaxed structure of AlCuPd2 (PBE, OQMD).

Output
The space group is P6_3/mmc.

POSCAR file:
```
AlCuPd2
1.0
4.235 0.000 0.000
-2.118 3.668 0.000
0.000 0.000 7.988
Al Cu Pd
2 2 4
direct
0.000 0.000 0.000
0.000 0.000 0.500
0.333 0.667 0.250
0.667 0.333 0.750
0.333 0.667 0.583
0.333 0.667 0.917
0.667 0.333 0.083
0.667 0.333 0.417
```

# AlCu2Pd

A relaxed structure of AlCu2Pd (PBE, OQMD).

Output
The space group is F-43m.

POSCAR file:
```
AlCu2Pd
1.0
0.000 2.978 2.978
2.978 0.000 2.978
2.978 2.978 0.000
Al Cu Pd
1 2 1
direct
0.000 0.000 0.000
0.500 0.500 0.500
0.750 0.750 0.750
0.250 0.250 0.250
```

# AlCuPd2

A relaxed structure of AlCuPd2 (PBE, OQMD).

Output
The space group is P6_3/mmc.

POSCAR file:
```
AlCuPd2
1.0
4.287 0.000 0.000
-2.143 3.712 0.000
0.000 0.000 7.800
Al Cu Pd
2 2 4
direct
0.333 0.667 0.250
0.667 0.333 0.750
0.000 0.000 0.000
0.000 0.000 0.500
0.333 0.667 0.581
0.333 0.667 0.919
0.667 0.333 0.081
0.667 0.333 0.419
```

# AlCuPd2

A relaxed structure of AlCuPd2 (PBE, OQMD).

Output
The space group is P4/mmm.

POSCAR file:
```
AlCuPd2
1.0
2.987 0.000 0.000
0.000 2.987 0.000
0.000 0.000 6.279
Al Cu Pd
1 1 2
direct
0.000 0.000 0.000
0.000 0.000 0.500
0.500 0.500 0.242
0.500 0.500 0.758
```

# AlCuPd2

A relaxed structure of AlCuPd2 (PBE, OQMD).

Output
The space group is Cmmm.

POSCAR file:
```
AlCuPd2
1.0
2.847 -3.384 0.000
2.847 3.384 0.000
0.000 0.000 2.909
Al Cu Pd
1 1 2
direct
0.000 0.000 0.000
0.500 0.500 0.000
0.000 0.500 0.500
0.500 0.000 0.500
```

# AlCuPd

A relaxed structure of AlCuPd (PBE, OQMD).

Output
The value obtained for the energy above the most stable polymorph in this dataset is 0 kJ/mol of formula units. The space group is F-43m.

POSCAR file:
```
AlCuPd
1.0
0.000 2.876 2.876
2.876 0.000 2.876
2.876 2.876 0.000
Al Cu Pd
1 1 1
direct
0.000 0.000 0.000
0.750 0.750 0.750
0.250 0.250 0.250
```

# Al2CuPd

A relaxed structure of Al2CuPd (PBE, OQMD).

Output
The space group is F-43m.

POSCAR file:
```
Al2CuPd
1.0
0.000 3.061 3.061
3.061 0.000 3.061
3.061 3.061 0.000
Al Cu Pd
2 1 1
direct
0.000 0.000 0.000
0.250 0.250 0.250
0.750 0.750 0.750
0.500 0.500 0.500
```

# AlCuPd2

A relaxed structure of AlCuPd2 (PBE, OQMD).

Output
The space group is P6_3/mmc.

POSCAR file:
```
AlCuPd2
1.0
4.162 0.000 0.000
-2.081 3.605 0.000
0.000 0.000 7.978
Al Cu Pd
2 2 4
direct
0.000 0.000 0.250
0.000 0.000 0.750
0.333 0.667 0.250
0.667 0.333 0.750
0.333 0.667 0.584
0.333 0.667 0.916
0.667 0.333 0.084
0.667 0.333 0.416
```

# AlCuPd2

A relaxed structure of AlCuPd2 (PBE, OQMD).

Output
The space group is P4/mmm.

POSCAR file:
```
AlCuPd2
1.0
4.007 0.000 0.000
0.000 4.007 0.000
0.000 0.000 3.490
Al Cu Pd
1 1 2
direct
0.000 0.000 0.000
0.500 0.500 0.000
0.000 0.500 0.500
0.500 0.000 0.500
```

| no. | electronic total energy (Ry/atom) |
| --- | --- |
| 1 | -0.317 |
| 2 | -0.300 |
| 3 | -0.268 |
| 4 | -0.357 |
| 5 | -0.329 |
| 6 | -0.354 |
| 7 | -0.372 |
| 8 | -0.371 |
| 9 | -0.329 |
| 10 | -0.325 |
| 11 | -0.353 |
| 12 | -0.373 |